The following is a PBE-GGA calculation of crystalline NpTcP2Ir2 at its relaxed geometry, from the Alexandria database.

Calculated values
- Energy of formation: -0.40 eV/atom
- Energy: -54.2 eV for the cell shown
- Space group: P-3m1 (164)

Unit cell a=4.155 b=4.155 c=6.393 alpha=90.00 beta=90.00 gamma=120.00
Site moments in Bohr magnetons follow the coordinates.
Positions (direct):
Np 0.000 0.000 0.000  3.17
Tc 0.000 0.000 0.500  -0.22
P 0.667 0.333 0.679  -0.01
P 0.333 0.667 0.321  -0.01
Ir 0.667 0.333 0.281  -0.16
Ir 0.333 0.667 0.719  -0.16